[1]
Compound: HfTiSiAu2
Source: Alexandria
Functional: PBE
Structure: optimized geometry

Size of the total moment = 0.00 μB/cell
Formation energy without anion corrections = 1.187 eV/atom

Unit cell a=5.1343 b=5.1343 c=4.8127 alpha=90.00 beta=90.00 gamma=90.00
Fractional coordinates of all 5 atoms:
Hf (0.0000, 0.0000, 0.0000)
Ti (0.0000, 0.0000, 0.5000)
Si (0.5000, 0.5000, 0.5000)
Au (0.0000, 0.5000, 0.0000)
Au (0.5000, 0.0000, 0.0000)

[2]
Compound: HfTiSi2Au
Source: Alexandria
Functional: PBE
Structure: optimized geometry

Size of the total moment = 0.00 μB/cell
Formation energy without anion corrections = 0.669 eV/atom

Unit cell a=4.6898 b=4.6898 c=4.8912 alpha=90.00 beta=90.00 gamma=90.00
Fractional coordinates of all 5 atoms:
Hf (0.0000, 0.0000, 0.0000)
Ti (0.0000, 0.0000, 0.5000)
Si (0.0000, 0.5000, 0.5000)
Si (0.5000, 0.0000, 0.5000)
Au (0.5000, 0.5000, 0.0000)

[3]
Compound: SmHfAu2
Source: Alexandria
Functional: PBE
Structure: optimized geometry

Formation energy from the elements = -0.59 eV per atom
Size of the total moment = 0.00 μB/cell
Energy relative to the lowest polymorph listed for this composition = 0.00 eV per formula unit

Unit cell a=3.4662 b=3.4662 c=7.3447 alpha=90.00 beta=90.00 gamma=90.00
Fractional coordinates of all 4 atoms:
Sm (0.0000, 0.0000, 0.0000)
Hf (0.0000, 0.0000, 0.5000)
Au (0.5000, 0.5000, 0.2883)
Au (0.5000, 0.5000, 0.7117)

[4]
Compound: SmHfAu2
Source: Alexandria
Functional: PBE
Structure: optimized geometry

Formation energy from the elements = -0.50 eV per atom
Size of the total moment = 0.00 μB/cell
Energy relative to the lowest polymorph listed for this composition = 0.35 eV per formula unit

Unit cell a=7.0719 b=7.0719 c=7.0719 alpha=90.00 beta=90.00 gamma=90.00
Fractional coordinates of all 16 atoms:
Sm (0.0000, 0.0000, 0.0000)
Sm (0.0000, 0.5000, 0.5000)
Sm (0.5000, 0.0000, 0.5000)
Sm (0.5000, 0.5000, 0.0000)
Hf (0.0000, 0.0000, 0.5000)
Hf (0.0000, 0.5000, 0.0000)
Hf (0.5000, 0.0000, 0.0000)
Hf (0.5000, 0.5000, 0.5000)
Au (0.2500, 0.2500, 0.2500)
Au (0.2500, 0.2500, 0.7500)
Au (0.2500, 0.7500, 0.2500)
Au (0.2500, 0.7500, 0.7500)
Au (0.7500, 0.2500, 0.2500)
Au (0.7500, 0.2500, 0.7500)
Au (0.7500, 0.7500, 0.2500)
Au (0.7500, 0.7500, 0.7500)

[5]
Compound: Sm2HfAu
Source: Alexandria
Functional: PBE
Structure: optimized geometry

Formation energy from the elements = -0.27 eV per atom
Size of the total moment = 0.00 μB/cell

Unit cell a=3.4957 b=3.4957 c=8.5800 alpha=90.00 beta=90.00 gamma=90.00
Fractional coordinates of all 4 atoms:
Sm (0.0000, 0.0000, 0.2320)
Sm (0.0000, 0.0000, 0.7680)
Hf (0.5000, 0.5000, 0.5000)
Au (0.5000, 0.5000, 0.0000)

[6]
Compound: SmHfAu2
Source: Alexandria
Functional: PBE
Structure: optimized geometry

Formation energy from the elements = -0.42 eV per atom
Size of the total moment = 0.00 μB/cell
Energy relative to the lowest polymorph listed for this composition = 0.65 eV per formula unit

Unit cell a=3.7980 b=3.7980 c=23.3824 alpha=90.00 beta=90.00 gamma=120.00
Fractional coordinates of all 12 atoms:
Sm (0.0000, 0.0000, 0.0000)
Sm (0.3333, 0.6667, 0.6667)
Sm (0.6667, 0.3333, 0.3333)
Hf (0.0000, 0.0000, 0.5000)
Hf (0.3333, 0.6667, 0.1667)
Hf (0.6667, 0.3333, 0.8333)
Au (0.0000, 0.0000, 0.2408)
Au (0.0000, 0.0000, 0.7592)
Au (0.3333, 0.6667, 0.4259)
Au (0.3333, 0.6667, 0.9074)
Au (0.6667, 0.3333, 0.0926)
Au (0.6667, 0.3333, 0.5741)

[7]
Compound: SmHfAu
Source: Alexandria
Functional: PBE
Structure: optimized geometry

Formation energy from the elements = -0.42 eV per atom
Size of the total moment = 0.00 μB/cell

Unit cell a=6.3921 b=6.3915 c=8.0081 alpha=90.00 beta=113.47 gamma=90.00
Fractional coordinates of all 12 atoms:
Sm (0.1798, 0.0000, 0.3597)
Sm (0.3202, 0.5000, 0.6403)
Sm (0.6798, 0.5000, 0.3597)
Sm (0.8202, 0.0000, 0.6403)
Hf (0.2500, 0.2500, 0.0000)
Hf (0.2500, 0.7500, 0.0000)
Hf (0.7500, 0.2500, 0.0000)
Hf (0.7500, 0.7500, 0.0000)
Au (0.1206, 0.5000, 0.2420)
Au (0.3794, 0.0000, 0.7580)
Au (0.6206, 0.0000, 0.2420)
Au (0.8794, 0.5000, 0.7580)

[8]
Compound: Hf6Sn2Au
Source: Alexandria
Functional: PBE
Structure: optimized geometry

Formation energy from the elements = -0.30 eV per atom
Size of the total moment = 0.00 μB/cell

Unit cell a=9.4392 b=9.4392 c=4.3606 alpha=90.00 beta=90.00 gamma=90.00
Fractional coordinates of all 18 atoms:
Hf (0.0167, 0.3330, 0.0000)
Hf (0.1435, 0.8565, 0.5000)
Hf (0.1670, 0.5167, 0.5000)
Hf (0.3330, 0.0167, 0.0000)
Hf (0.3565, 0.3565, 0.0000)
Hf (0.4833, 0.8330, 0.5000)
Hf (0.5167, 0.1670, 0.5000)
Hf (0.6435, 0.6435, 0.0000)
Hf (0.6670, 0.9833, 0.0000)
Hf (0.8330, 0.4833, 0.5000)
Hf (0.8565, 0.1435, 0.5000)
Hf (0.9833, 0.6670, 0.0000)
Sn (0.1927, 0.1927, 0.5000)
Sn (0.3073, 0.6927, 0.0000)
Sn (0.6927, 0.3073, 0.0000)
Sn (0.8073, 0.8073, 0.5000)
Au (0.0000, 0.0000, 0.0000)
Au (0.5000, 0.5000, 0.5000)

[9]
Compound: Hf2SnAu
Source: Alexandria
Functional: PBE
Structure: optimized geometry

Formation energy from the elements = -0.36 eV per atom
Size of the total moment = 0.00 μB/cell

Unit cell a=4.3544 b=4.3544 c=4.3086 alpha=90.00 beta=90.00 gamma=90.00
Fractional coordinates of all 4 atoms:
Hf (0.0000, 0.5000, 0.0000)
Hf (0.5000, 0.0000, 0.0000)
Sn (0.0000, 0.0000, 0.5000)
Au (0.5000, 0.5000, 0.5000)

[10]
Compound: Hf2SnAu
Source: Alexandria
Functional: PBE
Structure: optimized geometry

Formation energy from the elements = -0.33 eV per atom
Size of the total moment = 0.00 μB/cell

Unit cell a=3.1303 b=3.1303 c=8.4004 alpha=90.00 beta=90.00 gamma=90.00
Fractional coordinates of all 4 atoms:
Hf (0.0000, 0.0000, 0.2359)
Hf (0.0000, 0.0000, 0.7641)
Sn (0.5000, 0.5000, 0.5000)
Au (0.5000, 0.5000, 0.0000)

[11]
Compound: Hf2Sn2Au
Source: Alexandria
Functional: PBE
Structure: optimized geometry

Formation energy from the elements = -0.12 eV per atom
Size of the total moment = 0.00 μB/cell
Energy relative to the lowest polymorph listed for this composition = 0.18 eV per formula unit

Unit cell a=7.2421 b=7.2421 c=4.1483 alpha=90.00 beta=90.00 gamma=90.00
Fractional coordinates of all 10 atoms:
Hf (0.1706, 0.3294, 0.0000)
Hf (0.3294, 0.8294, 0.0000)
Hf (0.6706, 0.1706, 0.0000)
Hf (0.8294, 0.6706, 0.0000)
Sn (0.1368, 0.6368, 0.5000)
Sn (0.3632, 0.1368, 0.5000)
Sn (0.6368, 0.8632, 0.5000)
Sn (0.8632, 0.3632, 0.5000)
Au (0.0000, 0.0000, 0.5000)
Au (0.5000, 0.5000, 0.5000)

[12]
Compound: Hf8Sn3Au2
Source: Alexandria
Functional: PBE
Structure: optimized geometry

Formation energy from the elements = 0.06 eV per atom
Size of the total moment = 0.56 μB/cell

Unit cell a=10.6777 b=10.6777 c=10.6777 alpha=31.90 beta=31.90 gamma=31.90
Fractional coordinates of all 13 atoms:
Hf (0.2166, 0.2166, 0.2166)
Hf (0.2246, 0.2246, 0.7232)
Hf (0.2246, 0.7232, 0.2246)
Hf (0.2768, 0.7754, 0.7754)
Hf (0.7232, 0.2246, 0.2246)
Hf (0.7754, 0.2768, 0.7754)
Hf (0.7754, 0.7754, 0.2768)
Hf (0.7834, 0.7834, 0.7834)
Sn (0.3090, 0.3090, 0.3090)
Sn (0.5000, 0.5000, 0.5000)
Sn (0.6910, 0.6910, 0.6910)
Au (0.1302, 0.1302, 0.1302)
Au (0.8698, 0.8698, 0.8698)